Computed, not measured: a relaxed LuGaRh2 crystal at the PBE level of DFT.

```
LuGaRh2
1.0
-0.390 4.386 -0.967
-1.983 -3.075 -2.630
-2.109 -1.713 3.595
Ga Rh Lu
1 2 1
direct
0.500 0.750 0.250 Ga
0.000 0.000 0.000 Rh
0.000 0.500 0.500 Rh
0.500 0.250 0.750 Lu
```

For the formation enthalpy at 0 K, the calculation gives -0.9192 eV/atom. The energy is -6.48 eV/atom.